1.
Density functional theory data (GGA-PBE) for a relaxed structure of DyPaHgPt.

Cell: 7.214 7.214 7.214 Å, 90.00 90.00 90.00°
Space group F-43m (No. 216)
Symmetry-distinct sites (fractional):
Dy 0.000 0.000 0.000
Pa 0.000 0.000 0.500
Hg 0.250 0.250 0.250
Pt 0.250 0.250 0.750

VASP energy ... -88.99 eV/cell
V ... 23.466 Å³ per atom
Energy of formation from the pure elements ... -0.452 eV per atom



2.
Density functional theory data (GGA-PBE) for a relaxed structure of La3TbHo3Te8.

Cell: 8.8284 8.8284 21.9976 Å, 90.00 90.00 120.00°
Space group R-3m (No. 166, hexagonal axes)
Symmetry-distinct sites (fractional):
La 0.0000 0.5000 0.0000
Tb 0.0000 0.0000 0.5000
Ho 0.0000 0.5000 0.5000
Te 0.0000 0.0000 0.2442
Te 0.0101 0.5051 0.7534

VASP energy ... -240.75 eV/cell
V ... 32.995 Å³ per atom
Formation energy (no corrections) ... -21.97 eV per formula unit